w | The following is a DFT calculation (GGA-PBE) of a relaxed Ta2Ag2Pd crystal.

```
Ta2Ag2Pd
1.0
-1.838 1.838 7.184
1.838 -1.838 7.184
1.838 1.838 -7.184
Ta Ag Pd
2 2 1
Cartesian
0.000 0.000 1.225
0.000 0.000 13.143
1.838 0.000 3.592
0.000 1.838 3.592
0.000 0.000 7.184
```

## Properties
The calculated volume is 19.4 Å³ per atom.



x | The following is a DFT calculation (GGA-PBE) of a relaxed Ta2Ag2Pd crystal.

```
Ta2Ag2Pd
1.0
8.052 0.000 0.000
0.000 8.052 0.000
0.000 0.000 2.861
Ta Ag Pd
4 4 2
Cartesian
0.970 3.056 0.000
3.056 7.082 0.000
4.995 0.970 0.000
7.082 4.995 0.000
1.414 5.439 1.430
2.612 1.414 1.430
5.439 6.638 1.430
6.638 2.612 1.430
0.000 0.000 0.000
4.026 4.026 0.000
```

## Properties
The calculated volume is 18.5 Å³ per atom.



Unit: kJ/mol of atoms. Relative energies: w 12.4; x 0.0.



w | The following is a DFT calculation (GGA-PBE) of a relaxed Ta2AgPd crystal.

```
Ta2AgPd
1.0
-3.722 3.722 2.693
3.722 -3.722 2.693
3.722 3.722 -2.693
Ta Ag Pd
4 2 2
Cartesian
5.583 1.669 -0.673
1.669 1.861 0.673
-1.861 2.052 2.019
2.052 1.861 3.366
3.722 0.000 1.346
0.000 0.000 2.693
0.000 0.000 0.000
0.000 3.722 1.346
```

## Properties
The calculated volume is 18.6 Å³ per atom.



x | The following is a DFT calculation (GGA-PBE) of a relaxed Ta2AgPd crystal.

```
Ta2AgPd
1.0
0.000 3.267 3.267
3.267 0.000 3.267
3.267 3.267 0.000
Ta Ag Pd
2 1 1
Cartesian
1.634 1.634 1.634
4.901 4.901 4.901
0.000 0.000 0.000
3.267 3.267 3.267
```

## Properties
The calculated volume is 17.4 Å³ per atom.



Unit: kJ/mol of atoms. Relative energies: w 18.8; x 0.0.



w | The following is a DFT calculation (GGA-PBE) of a relaxed Ta2AgPd2 crystal.

```
Ta2AgPd2
1.0
7.994 0.000 0.000
0.000 7.994 0.000
0.000 0.000 2.801
Ta Ag Pd
4 2 4
Cartesian
0.968 3.029 0.000
3.029 7.026 0.000
4.965 0.968 0.000
7.026 4.965 0.000
0.000 0.000 0.000
3.997 3.997 0.000
1.385 5.382 1.401
2.612 1.385 1.401
5.382 6.609 1.401
6.609 2.612 1.401
```

## Properties
The calculated volume is 17.9 Å³ per atom.



x | The following is a DFT calculation (GGA-PBE) of a relaxed Ta2AgPd2 crystal.

```
Ta2AgPd2
1.0
7.834 0.000 0.000
0.000 7.834 0.000
0.000 0.000 2.843
Ta Ag Pd
4 2 4
Cartesian
1.321 2.596 0.000
2.596 6.513 0.000
5.238 1.321 0.000
6.513 5.238 0.000
0.000 0.000 1.422
3.917 3.917 1.422
0.995 4.912 1.422
2.922 0.995 1.422
4.912 6.839 1.422
6.839 2.922 1.422
```

## Properties
The calculated volume is 17.4 Å³ per atom.



Unit: kJ/mol of atoms. Relative energies: w 7.6; x 0.0.



w | The following is a DFT calculation (GGA-PBE) of a relaxed TaAgPd crystal.

```
TaAgPd
1.0
-1.431 1.431 6.189
1.431 -1.431 6.189
1.431 1.431 -6.189
Ta Ag Pd
1 1 1
Cartesian
0.000 0.000 0.000
0.000 0.000 4.017
0.000 0.000 8.100
```

## Properties
The calculated volume is 16.9 Å³ per atom.



x | The following is a DFT calculation (GGA-PBE) of a relaxed TaAgPd crystal.

```
TaAgPd
1.0
2.271 1.311 6.280
-2.271 1.311 6.280
0.000 -2.622 6.280
Ta Ag Pd
2 2 2
Cartesian
0.000 0.000 4.118
0.000 0.000 14.721
0.000 0.000 6.979
0.000 0.000 11.860
0.000 0.000 1.624
0.000 0.000 17.215
```

## Properties
The calculated volume is 18.7 Å³ per atom.



Unit: kJ/mol of atoms. Relative energies: w 0.0; x 20.3.



w | The following is a DFT calculation (GGA-PBE) of a relaxed Ta3AgPd crystal.

```
Ta3AgPd
1.0
4.833 0.000 0.000
0.000 4.833 0.000
0.000 0.000 4.833
Ta Ag Pd
3 1 1
Cartesian
0.000 0.000 2.416
0.000 2.416 0.000
2.416 0.000 0.000
2.416 2.416 2.416
0.000 0.000 0.000
```

## Properties
The calculated volume is 22.6 Å³ per atom.



x | The following is a DFT calculation (GGA-PBE) of a relaxed Ta3AgPd crystal.

```
Ta3AgPd
1.0
4.851 0.000 0.000
0.000 4.851 0.000
0.000 0.000 4.851
Ta Ag Pd
3 1 1
Cartesian
0.000 0.000 2.426
0.000 2.426 0.000
2.426 0.000 0.000
0.000 0.000 0.000
2.426 2.426 2.426
```

## Properties
The calculated volume is 22.8 Å³ per atom.



Unit: kJ/mol of atoms. Relative energies: w 0.0; x 55.1.



w | The following is a DFT calculation (GGA-PBE) of a relaxed TbAgPd crystal.

```
TbAgPd
1.0
4.643 -1.910 0.000
4.643 1.910 0.000
-0.063 0.000 7.394
Tb Ag Pd
2 2 2
Cartesian
0.515 0.000 1.684
8.708 0.000 5.710
3.247 0.000 3.280
5.977 0.000 4.114
3.277 0.000 0.366
5.946 0.000 7.028
```

## Properties
The calculated volume is 21.9 Å³ per atom.



x | The following is a DFT calculation (GGA-PBE) of a relaxed TbAgPd crystal.

```
TbAgPd
1.0
1.832 -7.301 0.000
1.832 7.301 0.000
0.000 0.000 4.617
Tb Ag Pd
2 2 2
Cartesian
1.832 5.963 3.463
1.832 -5.963 1.154
1.832 3.886 1.154
1.832 -3.886 3.463
1.832 1.036 3.463
1.832 -1.036 1.154
```

## Properties
The calculated volume is 20.6 Å³ per atom.



Unit: kJ/mol of atoms. Relative energies: w 5.4; x 0.0.